# Fe10O19F

An optimized crystal structure of Fe10O19F (PBE with a Hubbard U, the Alexandria database).

The structure in extended XYZ format:
```
30
Lattice="4.6643 0.0000 0.0000 -0.0768 5.5080 0.0000 -0.0853 -2.2564 12.3496" Properties=species:S:1:pos:R:3 pbc="T T T"
Fe 0.0000 0.0000 0.0000
Fe -0.0769 4.0406 2.4774
Fe 0.0000 2.3791 4.8786
Fe 2.1287 3.6118 7.4724
Fe 2.1757 2.0132 9.8918
Fe 2.2623 -0.2629 4.8968
Fe 2.2885 2.7640 0.0012
Fe 2.3181 1.2674 2.4465
Fe 4.5569 0.8284 7.3823
Fe 4.5695 -0.7552 9.8924
O 0.7395 -0.7410 11.6074
O 0.7416 2.3880 6.6592
O 0.7781 0.7820 9.1032
O 0.8692 0.0012 1.6884
O 0.8147 4.0121 4.1820
O 1.2745 3.5260 9.2078
O 1.3861 -0.3520 6.5911
O 1.3026 1.9868 11.5841
O 1.4209 2.7475 1.6908
O 1.4247 1.2425 4.1349
O 3.0690 0.5228 10.6598
O 3.0793 2.0465 8.2361
O 3.1736 1.2763 0.7574
O 3.1811 -0.2096 3.2235
O 3.6724 0.9002 5.6780
O 3.5983 3.2763 10.6772
O 3.7211 -0.7091 8.1695
O 3.7249 4.0340 0.7775
O 3.7446 2.5338 3.1999
F 3.1223 3.6483 5.6439
```

Calculated values
polymorph energy (0 for the lowest one) = 0 meV/atom
V = 10.58 A^3/atom
uncorrected energy = -6.13 eV/atom
SG = P1